LaWBrO4 | PBE with a Hubbard U | relaxed

Cell: 6.683 6.683 7.253 Å, 103.57 103.57 69.87°
Element x y z (fractional)
La  0.230  0.230  0.129
La  0.770  0.770  0.871
W  0.365  0.365  0.738
W  0.635  0.635  0.262
Br  0.015  0.015  0.755
Br  0.985  0.985  0.245
O  0.122  0.492  0.849
O  0.300  0.300  0.480
O  0.463  0.463  0.200
O  0.492  0.122  0.849
O  0.508  0.878  0.151
O  0.537  0.537  0.800
O  0.700  0.700  0.520
O  0.878  0.508  0.151

Summary:
DFT total energy, eV per formula unit: -50.6
Size of the total moment, μB per atom: 0.000
DOS(E_F), states/eV per cell: 0.0
Theoretical density, g/cm³: 5.32